No. 1
A geometry-optimized SrSnAsPt2 structure, computed with PBE.

Summary:
**Total magnetic moment**: 0.00 μB/f.u.

Lattice parameters (Å, degrees): 4.593 4.521 10.521 90.00 90.63 90.00
Atoms (fractional coordinates):
1 Sr 0.246 0.250 0.267
2 Sr 0.754 0.750 0.733
3 Sn 0.252 0.750 0.001
4 Sn 0.748 0.250 0.999
5 As 0.215 0.250 0.617
6 As 0.785 0.750 0.383
7 Pt 0.245 0.250 0.856
8 Pt 0.300 0.750 0.502
9 Pt 0.700 0.250 0.498
10 Pt 0.755 0.750 0.144

---

No. 2
A geometry-optimized GdMgZn structure, computed with PBE.

Summary:
**Total magnetic moment**: 0.00 μB/f.u.

Lattice parameters (Å, degrees): 6.157 6.317 7.947 78.32 80.84 66.05
Atoms (fractional coordinates):
1 Gd 0.000 0.000 0.000
2 Gd 0.203 0.174 0.329
3 Gd 0.408 0.350 0.662
4 Gd 0.707 0.678 0.329
5 Mg 0.436 0.826 0.702
6 Mg 0.482 0.477 0.034
7 Mg 0.924 0.876 0.625
8 Mg 0.969 0.526 0.956
9 Zn 0.209 0.672 0.332
10 Zn 0.513 0.984 0.992
11 Zn 0.701 0.181 0.330
12 Zn 0.897 0.365 0.666

---

No. 3
A geometry-optimized MgCdNO structure, computed with PBE.

Lattice parameters (Å, degrees): 7.529 6.265 4.626 90.00 90.00 90.00
Atoms (fractional coordinates):
1 Mg 0.124 0.075 0.250
2 Mg 0.124 0.425 0.750
3 Mg 0.876 0.575 0.250
4 Mg 0.876 0.925 0.750
5 Cd 0.361 0.569 0.250
6 Cd 0.361 0.931 0.750
7 Cd 0.639 0.069 0.250
8 Cd 0.639 0.431 0.750
9 N 0.103 0.101 0.750
10 N 0.103 0.399 0.250
11 N 0.897 0.601 0.750
12 N 0.897 0.899 0.250
13 O 0.361 0.565 0.750
14 O 0.361 0.935 0.250
15 O 0.639 0.065 0.750
16 O 0.639 0.435 0.250

---

No. 4
A geometry-optimized YNi2Bi structure, computed with PBE.

Summary:
**Total magnetic moment**: 0.00 μB/f.u.

Lattice parameters (Å, degrees): 4.760 4.760 4.760 60.00 60.00 60.00
Atoms (fractional coordinates):
1 Y 0.000 0.000 0.000
2 Ni 0.250 0.250 0.250
3 Ni 0.500 0.500 0.500
4 Bi 0.750 0.750 0.750

---

No. 5
A geometry-optimized MgCoHgS3 structure, computed with PBE.

Summary:
**Total magnetic moment**: 2.93 μB/f.u.

Lattice parameters (Å, degrees): 5.875 5.875 12.164 90.00 90.00 144.06
Atoms (fractional coordinates):
1 Mg 0.232 0.768 0.750
2 Mg 0.768 0.232 0.250
3 Co 0.478 0.522 0.250
4 Co 0.522 0.478 0.750
5 Hg 0.000 0.000 0.000
6 Hg 0.000 0.000 0.500
7 S 0.096 0.904 0.250
8 S 0.359 0.641 0.103
9 S 0.359 0.641 0.397
10 S 0.641 0.359 0.603
11 S 0.641 0.359 0.897
12 S 0.904 0.096 0.750

---

No. 6
A geometry-optimized GdY2Fe3Ni6 structure, computed with PBE.

Summary:
**Total magnetic moment**: 8.64 μB/f.u.

Lattice parameters (Å, degrees): 8.558 8.558 8.558 34.20 34.20 34.20
Atoms (fractional coordinates):
1 Gd 0.000 0.000 0.000
2 Y 0.139 0.139 0.139
3 Y 0.861 0.861 0.861
4 Fe 0.333 0.333 0.333
5 Fe 0.500 0.500 0.500
6 Fe 0.667 0.667 0.667
7 Ni 0.082 0.582 0.582
8 Ni 0.418 0.418 0.918
9 Ni 0.418 0.918 0.418
10 Ni 0.582 0.082 0.582
11 Ni 0.582 0.582 0.082
12 Ni 0.918 0.418 0.418

---

No. 7
A geometry-optimized ZrZn2Ga2 structure, computed with PBE.

Summary:
**Total magnetic moment**: 0.01 μB/f.u.

Lattice parameters (Å, degrees): 6.113 6.113 6.113 142.57 142.57 53.97
Atoms (fractional coordinates):
1 Zr 0.000 0.000 0.000
2 Zn 0.250 0.750 0.500
3 Zn 0.750 0.250 0.500
4 Ga 0.393 0.393 0.000
5 Ga 0.607 0.607 0.000

---

No. 8
A geometry-optimized LuGe2Pd structure, computed with PBE.

Summary:
**Total magnetic moment**: 0.01 μB/f.u.

Lattice parameters (Å, degrees): 4.748 4.748 4.748 60.00 60.00 60.00
Atoms (fractional coordinates):
1 Lu 0.000 0.000 0.000
2 Ge 0.250 0.250 0.250
3 Ge 0.500 0.500 0.500
4 Pd 0.750 0.750 0.750

---

No. 9
A geometry-optimized ZnHgTeO structure, computed with PBE.

Lattice parameters (Å, degrees): 6.029 7.872 8.173 90.00 90.00 90.00
Atoms (fractional coordinates):
1 Zn 0.063 0.175 0.036
2 Zn 0.437 0.825 0.536
3 Zn 0.563 0.325 0.964
4 Zn 0.937 0.675 0.464
5 Hg 0.120 0.610 0.940
6 Hg 0.380 0.390 0.440
7 Hg 0.620 0.890 0.060
8 Hg 0.880 0.110 0.560
9 Te 0.248 0.081 0.331
10 Te 0.252 0.919 0.831
11 Te 0.748 0.419 0.669
12 Te 0.752 0.581 0.169
13 O 0.249 0.650 0.454
14 O 0.251 0.350 0.954
15 O 0.749 0.850 0.546
16 O 0.751 0.150 0.046

---

No. 10
A geometry-optimized KScIrSe3 structure, computed with PBE.

Summary:
**Total magnetic moment**: 0.00 μB/f.u.

Lattice parameters (Å, degrees): 7.893 7.893 10.045 90.00 90.00 151.04
Atoms (fractional coordinates):
1 K 0.241 0.759 0.750
2 K 0.759 0.241 0.250
3 Sc 0.485 0.515 0.250
4 Sc 0.515 0.485 0.750
5 Ir 0.000 0.000 0.000
6 Ir 0.000 0.000 0.500
7 Se 0.087 0.913 0.250
8 Se 0.392 0.608 0.038
9 Se 0.392 0.608 0.462
10 Se 0.608 0.392 0.538
11 Se 0.608 0.392 0.962
12 Se 0.913 0.087 0.750

---

No. 11
A geometry-optimized TlHg3PtO4 structure, computed with PBE.

Summary:
**Total magnetic moment**: 0.00 μB/f.u.

Lattice parameters (Å, degrees): 5.512 5.512 5.512 90.00 90.00 90.00
Atoms (fractional coordinates):
1 Tl 0.000 0.000 0.000
2 Hg 0.000 0.500 0.500
3 Hg 0.500 0.000 0.500
4 Hg 0.500 0.500 0.000
5 Pt 0.500 0.500 0.500
6 O 0.232 0.232 0.232
7 O 0.232 0.768 0.768
8 O 0.768 0.232 0.768
9 O 0.768 0.768 0.232

---

No. 12
A geometry-optimized UNb2 structure, computed with PBE.

Summary:
**Total magnetic moment**: 0.51 μB/f.u.

Lattice parameters (Å, degrees): 7.877 7.877 7.877 60.00 60.00 60.00
Atoms (fractional coordinates):
1 U 0.125 0.125 0.125
2 U 0.875 0.875 0.875
3 Nb 0.000 0.000 0.000
4 Nb 0.000 0.000 0.500
5 Nb 0.000 0.500 0.000
6 Nb 0.500 0.000 0.000

---

| no. | final energy (eV per atom) |
| --- | --- |
| 1 | -5.270 |
| 2 | -2.695 |
| 3 | -4.475 |
| 4 | -5.409 |
| 5 | -3.873 |
| 6 | -6.596 |
| 7 | -3.657 |
| 8 | -5.150 |
| 9 | -2.954 |
| 10 | -5.426 |
| 11 | -3.192 |
| 12 | -7.310 |